No. 1
Here is crystalline ScHg2 at its relaxed geometry from the Alexandria database. Energies are from PBE.

## Properties
* crystal system: cubic
* energy of formation from the pure elements: -0.04 eV per atom

Cell: 8.2059 8.2059 8.2059 Å, 90.00 90.00 90.00°
Last column: nearest neighbours and their distance in Å.
Space group Fd-3m (No. 227, origin choice 2)
Inequivalent atoms, fractional coordinates:
1 Sc 0.1250 0.1250 0.1250 x8  12 Hg 3.40, 4 Sc 3.55
2 Hg 0.0000 0.0000 0.5000 x16  6 Hg 2.90

***

No. 2
Here is crystalline Ce2PrIr at its relaxed geometry from the Alexandria database. Energies are from PBE.

## Properties
* crystal system: monoclinic
* energy of formation from the pure elements: -0.41 eV per atom
* E above lowest polymorph: 2 meV per atom

Cell: 3.8246 9.7045 6.1928 Å, 90.00 107.97 90.00°
Last column: nearest neighbours and their distance in Å.
Space group P2_1/m (No. 11)
Inequivalent atoms, fractional coordinates:
1 Ce 0.1404 0.0577 0.2818 x4  2 Ir 2.78
2 Pr 0.4219 0.2500 0.8447 x2  3 Ir 3.20-3.32
3 Ir 0.2960 0.7500 0.5910 x2  4 Ce 2.78

***

No. 3
Here is crystalline In2HgO at its relaxed geometry from the Alexandria database. Energies are from PBE.

## Properties
* crystal system: cubic
* E above lowest polymorph: 450 meV per atom

Cell: 6.9768 6.9768 6.9768 Å, 90.00 90.00 90.00°
Last column: nearest neighbours and their distance in Å.
Space group Fm-3m (No. 225)
Inequivalent atoms, fractional coordinates:
1 In 0.2500 0.2500 0.2500 x8  4 O 3.02, 4 Hg 3.02
2 Hg 0.0000 0.0000 0.0000 x4  8 In 3.02
3 O 0.0000 0.0000 0.5000 x4  8 In 3.02

***

No. 4
Here is crystalline Pr3NiRh2 at its relaxed geometry from the Alexandria database. Energies are from PBE.

## Properties
* crystal system: orthorhombic
* energy of formation from the pure elements: -0.53 eV per atom

Cell: 11.6995 4.1335 11.7602 Å, 90.00 90.00 90.00°
Last column: nearest neighbours and their distance in Å.
Space group Pnma (No. 62)
Inequivalent atoms, fractional coordinates:
1 Pr 0.0546 0.2500 0.1249 x4  5 Rh 3.00-3.10, 1 Ni 3.02
2 Pr 0.1200 0.7500 0.5582 x4  3 Ni 2.99-3.01, 5 Rh 3.03-3.19
3 Pr 0.2107 0.2500 0.8072 x4  2 Ni 2.92, 4 Rh 2.96-3.22
4 Ni 0.1260 0.2500 0.3718 x4  3 Rh 2.56-2.63
5 Rh 0.0141 0.7500 0.3084 x4  2 Ni 2.56
6 Rh 0.1837 0.7500 0.9913 x4  1 Ni 2.63

***

No. 5
Here is crystalline TeIr2Br at its relaxed geometry from the Alexandria database. Energies are from PBE.

## Properties
* crystal system: orthorhombic
* E above lowest polymorph: 744 meV per atom

Cell: 3.0027 5.4164 9.2024 Å, 90.00 90.00 90.00°
Last column: nearest neighbours and their distance in Å.
Space group Cmmm (No. 65)
Inequivalent atoms, fractional coordinates:
1 Te 0.0000 0.0000 0.0000 x2  4 Ir 2.76, 2 Te 3.00
2 Ir 0.0000 0.5000 0.2520 x4  2 Br 2.73, 2 Te 2.76, 2 Ir 3.00
3 Br 0.0000 0.0000 0.5000 x2  4 Ir 2.73, 2 Br 3.00

***

No. 6
Here is crystalline Ba2LaPb at its relaxed geometry from the Alexandria database. Energies are from PBE.

## Properties
* crystal system: tetragonal
* energy of formation from the pure elements: -0.19 eV per atom

Cell: 5.1985 5.1985 11.8039 Å, 90.00 90.00 90.00°
Last column: nearest neighbours and their distance in Å.
Space group I4/mmm (No. 139)
Inequivalent atoms, fractional coordinates:
1 Ba 0.0000 0.5000 0.2500 x4  4 Ba 3.68, 4 La 3.93, 4 Pb 3.93
2 La 0.0000 0.0000 0.0000 x2  4 Pb 3.68, 8 Ba 3.93
3 Pb 0.0000 0.0000 0.5000 x2  4 La 3.68, 8 Ba 3.93

***

No. 7
Here is crystalline ZnOs3 at its relaxed geometry from the Alexandria database. Energies are from PBE.

## Properties
* crystal system: cubic
* energy of formation from the pure elements: 3.34 eV per atom

Cell: 4.5392 4.5392 4.5392 Å, 90.00 90.00 90.00°
Last column: nearest neighbours and their distance in Å.
Space group Pm-3m (No. 221)
Inequivalent atoms, fractional coordinates:
1 Zn 0.0000 0.0000 0.0000 x1  6 Os 2.27
2 Os 0.0000 0.0000 0.5000 x3  2 Zn 2.27

***

No. 8
Here is crystalline SrY2Co at its relaxed geometry from the Alexandria database. Energies are from PBE.

## Properties
* crystal system: tetragonal
* energy of formation from the pure elements: 0.48 eV per atom
* E above lowest polymorph: 484 meV per atom

Cell: 7.8230 7.8230 11.0463 Å, 90.00 90.00 90.00°
Last column: nearest neighbours and their distance in Å.
Space group I-42d (No. 122)
Inequivalent atoms, fractional coordinates:
1 Sr 0.0000 0.0000 0.0000 x4  12 Y 4.57-4.60, 4 Co 4.79, 4 Sr 4.79
2 Y 0.0019 0.7500 0.6250 x8  2 Co 2.39
3 Co 0.0000 0.0000 0.5000 x4  4 Y 2.39

***

> Number 4 is which compound?

Pr3NiRh2